# 1
The following is a DFT calculation (PBE-GGA) of a geometry-optimized Ce6CoIr2Cl3 structure.

Output
The uncorrected energy is -6.54 eV per atom. The calculation puts the mass density at 7.48 Mg/m³. Its space-group type is C2/m, No. 12.

Cell lengths 6.9680, 6.9680, 7.7014 Å; angles 98.67, 98.67, 119.99 degrees
Last column: nearest neighbours and their distance in Å.
Fractional coordinates of all 12 atoms:
Ir 0.3333 0.6667 0.0000  6 Ce 2.80
Ir 0.6667 0.3333 0.0000  6 Ce 2.80
Ce 0.2546 0.2546 0.7936  1 Co 2.72, 2 Ir 2.80
Ce 0.3918 0.0686 0.2060  1 Co 2.71, 2 Ir 2.80
Ce 0.7454 0.7454 0.2064  1 Co 2.72, 2 Ir 2.80
Ce 0.9314 0.6082 0.7940  1 Co 2.71, 2 Ir 2.80
Ce 0.6082 0.9314 0.7940  1 Co 2.71, 2 Ir 2.80
Ce 0.0686 0.3918 0.2060  1 Co 2.71, 2 Ir 2.80
Cl 0.5000 0.5000 0.5000  6 Ce 3.15-3.22
Cl 0.8338 0.1662 0.5000  6 Ce 3.14-3.23
Cl 0.1662 0.8338 0.5000  6 Ce 3.14-3.23
Co 0.0000 0.0000 0.0000  6 Ce 2.71-2.72


# 2
The following is a DFT calculation (PBE-GGA) of a geometry-optimized Ce4CoIrCl2 structure.

Output
The uncorrected energy is -6.41 eV per atom. The calculation puts the mass density at 7.21 Mg/m³. Its space-group type is P2/m, No. 10.

Cell lengths 3.9910, 6.9363, 7.7003 Å; angles 107.58, 90.00, 90.00 degrees
Last column: nearest neighbours and their distance in Å.
Fractional coordinates of all 8 atoms:
Co 0.0000 0.0000 0.0000  6 Ce 2.71-2.73
Ce 0.5000 0.2247 0.2017  2 Co 2.71, 1 Ir 2.80
Ce 0.0000 0.2559 0.7916  1 Co 2.73, 2 Ir 2.79
Ce 0.0000 0.7441 0.2084  1 Co 2.73, 2 Ir 2.79
Ce 0.5000 0.7753 0.7983  2 Co 2.71, 1 Ir 2.80
Cl 0.0000 0.5000 0.5000  6 Ce 3.19-3.20
Cl 0.5000 0.0000 0.5000  6 Ce 3.13-3.14
Ir 0.5000 0.5000 0.0000  6 Ce 2.79-2.80


Please write out number 1 again, unchanged.
The following is a DFT calculation (PBE-GGA) of a geometry-optimized Ce6CoIr2Cl3 structure.

Output
The uncorrected energy is -6.54 eV per atom. The calculation puts the mass density at 7.48 Mg/m³. Its space-group type is C2/m, No. 12.

Cell lengths 6.9680, 6.9680, 7.7014 Å; angles 98.67, 98.67, 119.99 degrees
Last column: nearest neighbours and their distance in Å.
Fractional coordinates of all 12 atoms:
Ir 0.3333 0.6667 0.0000  6 Ce 2.80
Ir 0.6667 0.3333 0.0000  6 Ce 2.80
Ce 0.2546 0.2546 0.7936  1 Co 2.72, 2 Ir 2.80
Ce 0.3918 0.0686 0.2060  1 Co 2.71, 2 Ir 2.80
Ce 0.7454 0.7454 0.2064  1 Co 2.72, 2 Ir 2.80
Ce 0.9314 0.6082 0.7940  1 Co 2.71, 2 Ir 2.80
Ce 0.6082 0.9314 0.7940  1 Co 2.71, 2 Ir 2.80
Ce 0.0686 0.3918 0.2060  1 Co 2.71, 2 Ir 2.80
Cl 0.5000 0.5000 0.5000  6 Ce 3.15-3.22
Cl 0.8338 0.1662 0.5000  6 Ce 3.14-3.23
Cl 0.1662 0.8338 0.5000  6 Ce 3.14-3.23
Co 0.0000 0.0000 0.0000  6 Ce 2.71-2.72


> Among the records above, which one has the highest uncorrected energy?

Ce4CoIrCl2


> Number 2 is which compound?

Ce4CoIrCl2